No. 1
A crystal of Cd2SbBr relaxed with PBEsol, computed with meta-GGA SCAN.

Values from the calculation:
The total magnetization comes out at 0.00 μB/cell. Its volume is 24.3 Å³/atom. The calculation puts the density at 7.296 g cm⁻³. For the polymorph energy (0 for the lowest one), the calculation gives 459 meV/atom. The energy relative to the elements, uncorrected comes out at 0.39 eV per formula unit. The space-group type is Pmmm, No. 47.

Cell and atoms, written as POSCAR:
```
Cd2SbBr
1.0
3.1863 0.0000 0.0000
0.0000 5.2431 0.0000
0.0000 0.0000 5.8105
Sb Br Cd
1 1 2
direct
0.5000 0.0000 0.5000
0.0000 0.5000 0.5000
0.0000 0.0000 0.0000
0.5000 0.5000 0.0000
```



No. 2
A crystal of NaCdO2 relaxed with PBEsol, computed with meta-GGA SCAN.

Values from the calculation:
The total magnetization comes out at 1.00 μB/cell. Its volume is 12.8 Å³/atom. The calculation puts the density at 5.417 g cm⁻³. The energy relative to the elements, uncorrected comes out at -4.50 eV per formula unit. The space-group type is R-3m, No. 166.

Cell and atoms, written as POSCAR:
```
NaCdO2
1.0
-0.2119 0.1680 3.2917
1.4600 -2.2992 1.8683
4.9485 2.2809 1.8591
Na O Cd
1 2 1
direct
0.0000 0.0000 0.0000
0.2416 0.2416 0.2752
0.7584 0.7584 0.7248
0.5000 0.5000 0.5000
```



No. 3
A crystal of TaNiRh relaxed with PBEsol, computed with meta-GGA SCAN.

Values from the calculation:
The total magnetization comes out at 0.00 μB/cell. Its volume is 13.9 Å³/atom. For the formation energy, the calculation gives -0.452 eV/atom. The calculation puts the density at 13.655 g cm⁻³. For the polymorph energy (0 for the lowest one), the calculation gives 0 meV/atom. The space-group type is I4mm, No. 107.

Cell and atoms, written as POSCAR:
```
TaNiRh
1.0
-1.2403 2.9239 -0.0678
-2.9246 -1.2400 0.0266
2.0798 -0.7473 4.1473
Ni Rh Ta
1 1 1
direct
0.9928 0.9928 0.9857
0.6683 0.6683 0.3367
0.3388 0.3388 0.6777
```



No. 4
A crystal of Co2SiHg relaxed with PBEsol, computed with meta-GGA SCAN.

Values from the calculation:
The total magnetization comes out at 3.21 μB/cell. Its volume is 13.7 Å³/atom. The calculation puts the density at 10.505 g cm⁻³. For the polymorph energy (0 for the lowest one), the calculation gives 0 meV/atom. The energy relative to the elements, uncorrected comes out at 1.19 eV per formula unit. The space-group type is P4mm, No. 99.

Cell and atoms, written as POSCAR:
```
Co2SiHg
1.0
-1.7000 1.3037 -2.0001
-0.7840 -2.6240 -1.0440
-4.9068 -0.1535 4.0705
Co Hg Si
2 1 1
direct
0.0000 0.0000 0.9872
0.5000 0.5000 0.2038
0.0000 0.0000 0.4804
0.5000 0.5000 0.8286
```



No. 5
A crystal of Hg3PPd relaxed with PBEsol, computed with meta-GGA SCAN.

Values from the calculation:
The total magnetization comes out at 2.33 μB/cell. Its volume is 26.7 Å³/atom. For the formation energy, the calculation gives 0.595 eV/atom. The calculation puts the density at 9.188 g cm⁻³. The space-group type is Pm-3m, No. 221.

Cell and atoms, written as POSCAR:
```
Hg3PPd
1.0
-1.3111 -4.9409 0.0435
3.5522 -0.9738 -3.5450
3.4346 -0.8790 3.6830
P Hg Pd
1 3 1
direct
0.5000 0.5000 0.5000
0.0000 0.5000 0.0000
0.0000 0.0000 0.5000
0.5000 0.0000 0.0000
0.0000 0.0000 0.0000
```



No. 6
A crystal of ErAl3 relaxed with PBEsol, computed with meta-GGA SCAN.

Values from the calculation:
The total magnetization comes out at 0.17 μB/cell. Its volume is 18.5 Å³/atom. For the formation energy, the calculation gives -0.448 eV/atom. The calculation puts the density at 5.558 g cm⁻³. The space-group type is R-3m, No. 166.

Cell and atoms, written as POSCAR:
```
ErAl3
1.0
-1.7193 -2.5836 -5.1972
-4.7058 -3.8068 -0.0760
-6.4693 3.2442 -2.9978
Al Er
9 3
direct
0.2932 0.7454 0.6681
0.7454 0.2932 0.6681
0.2932 0.2932 0.6681
0.5000 0.0000 0.0000
0.5000 0.5000 0.0000
0.0000 0.5000 0.0000
0.2546 0.7068 0.3319
0.7068 0.2546 0.3319
0.7068 0.7068 0.3319
0.2194 0.2194 0.3419
0.7806 0.7806 0.6581
0.0000 0.0000 0.0000
```



No. 7
A crystal of TaHgTe2 relaxed with PBEsol, computed with meta-GGA SCAN.

Values from the calculation:
The total magnetization comes out at 0.00 μB/cell. Its volume is 25.0 Å³/atom. The calculation puts the density at 10.569 g cm⁻³. The energy relative to the elements, uncorrected comes out at -0.31 eV per formula unit. The space-group type is P4/mmm, No. 123.

Cell and atoms, written as POSCAR:
```
TaHgTe2
1.0
3.3263 0.0000 0.0000
0.0000 3.3263 0.0000
0.0000 0.0000 9.0417
Hg Ta Te
1 1 2
direct
0.5000 0.5000 0.0000
0.5000 0.5000 0.5000
0.0000 0.0000 0.6883
0.0000 0.0000 0.3117
```



No. 8
A crystal of Fe2HgPCl relaxed with PBEsol, computed with meta-GGA SCAN.

Values from the calculation:
The total magnetization comes out at 6.53 μB/cell. Its volume is 19.7 Å³/atom. The calculation puts the density at 6.400 g cm⁻³. The energy relative to the elements, uncorrected comes out at 1.43 eV per formula unit. The space-group type is P4/mmm, No. 123.

Cell and atoms, written as POSCAR:
```
Fe2HgPCl
1.0
-2.7472 -2.7956 2.0021
2.3394 -3.3977 -1.5342
2.9045 0.1228 4.1569
P Cl Hg Fe
1 1 1 2
direct
0.0000 0.0000 0.0000
0.5000 0.5000 0.5000
0.0000 0.0000 0.5000
0.0000 0.5000 0.0000
0.5000 0.0000 0.0000
```



No. 9
A crystal of Sr2TiMnO6 relaxed with PBEsol, computed with meta-GGA SCAN.

Values from the calculation:
The total magnetization comes out at 3.02 μB/cell. Its volume is 11.3 Å³/atom. The calculation puts the density at 5.513 g cm⁻³. For the polymorph energy (0 for the lowest one), the calculation gives 0 meV/atom. The energy relative to the elements, uncorrected comes out at -30.97 eV per formula unit. The space-group type is Fm-3m, No. 225.

Cell and atoms, written as POSCAR:
```
Sr2TiMnO6
1.0
-5.3040 0.6334 -0.9252
-3.5930 -1.2413 3.8652
-2.7396 3.9408 2.5209
Sr Ti Mn O
2 1 1 6
direct
0.7500 0.7500 0.7500
0.2500 0.2500 0.2500
0.0000 0.0000 0.0000
0.5000 0.5000 0.5000
0.2540 0.2540 0.7460
0.7460 0.7460 0.2540
0.2540 0.7460 0.2540
0.7460 0.2540 0.7460
0.2540 0.7460 0.7460
0.7460 0.2540 0.2540
```



No. 10
A crystal of ZrSi2Pt relaxed with PBEsol, computed with meta-GGA SCAN.

Values from the calculation:
The total magnetization comes out at 0.00 μB/cell. Its volume is 15.6 Å³/atom. The calculation puts the density at 9.135 g cm⁻³. The energy relative to the elements, uncorrected comes out at -2.64 eV per formula unit. The space-group type is I-4m2, No. 119.

Cell and atoms, written as POSCAR:
```
ZrSi2Pt
1.0
3.7299 0.0000 0.0000
0.0000 3.7299 0.0000
-1.8649 -1.8649 4.4747
Pt Si Zr
1 2 1
direct
0.2500 0.7500 0.5000
0.0000 0.0000 0.0000
0.7500 0.2500 0.5000
0.5000 0.5000 0.0000
```



No. 11
A crystal of ScIn2Au relaxed with PBEsol, computed with meta-GGA SCAN.

Values from the calculation:
The total magnetization comes out at 0.70 μB/cell. Its volume is 21.5 Å³/atom. For the formation energy, the calculation gives -0.234 eV/atom. The calculation puts the density at 9.126 g cm⁻³. The space-group type is R-3m, No. 166.

Cell and atoms, written as POSCAR:
```
ScIn2Au
1.0
3.3144 0.0000 0.0000
1.6572 2.8703 0.0000
1.6572 0.9568 9.0196
Au In Sc
1 2 1
direct
0.0000 0.0000 0.0000
0.2558 0.2558 0.2325
0.7442 0.7442 0.7675
0.5000 0.5000 0.5000
```



No. 12
A crystal of SrSc2Ir2 relaxed with PBEsol, computed with meta-GGA SCAN.

Values from the calculation:
The total magnetization comes out at 0.00 μB/cell. Its volume is 21.7 Å³/atom. For the formation energy, the calculation gives -0.835 eV/atom. The calculation puts the density at 8.592 g cm⁻³. For the polymorph energy (0 for the lowest one), the calculation gives 0 meV/atom. The space-group type is I4/mmm, No. 139.

Cell and atoms, written as POSCAR:
```
SrSc2Ir2
1.0
-3.0150 2.9028 -1.2442
-2.8145 -3.2500 -0.7621
1.0454 0.5334 6.3725
Sc Sr Ir
2 1 2
direct
0.2500 0.7500 0.5000
0.7500 0.2500 0.5000
0.0000 0.0000 0.0000
0.3877 0.3877 0.7754
0.6123 0.6123 0.2246
```



No. 13
A crystal of Sc2CSe relaxed with PBEsol, computed with meta-GGA SCAN.

Values from the calculation:
The total magnetization comes out at 0.00 μB/cell. Its volume is 18.9 Å³/atom. The calculation puts the density at 3.966 g cm⁻³. The energy relative to the elements, uncorrected comes out at -3.00 eV per formula unit. The space-group type is R-3m, No. 166.

Cell and atoms, written as POSCAR:
```
Sc2CSe
1.0
3.4368 0.0000 0.0000
1.7184 2.9764 0.0000
1.7184 0.9921 7.4032
Sc C Se
2 1 1
direct
0.8855 0.8855 0.3436
0.1145 0.1145 0.6564
0.5000 0.5000 0.5000
0.0000 0.0000 0.0000
```



No. 14
A crystal of Na2LiInSb relaxed with PBEsol, computed with meta-GGA SCAN.

Values from the calculation:
The total magnetization comes out at 0.00 μB/cell. Its volume is 30.9 Å³/atom. The calculation puts the density at 3.116 g cm⁻³. The energy relative to the elements, uncorrected comes out at 1.33 eV per formula unit. The space-group type is P4/mmm, No. 123.

Cell and atoms, written as POSCAR:
```
Na2LiInSb
1.0
-3.1691 -3.7121 1.4244
4.0535 -3.6842 -0.5829
1.4577 0.7723 5.2557
Sb Li Na In
1 1 2 1
direct
0.5000 0.5000 0.5000
0.5000 0.0000 0.0000
0.0000 0.0000 0.5000
0.0000 0.5000 0.0000
0.0000 0.0000 0.0000
```